Arrangement 1

A plane-wave DFT calculation with PBE-GGA was carried out for a relaxed structure of Tl2Bi2Pb7.

The structure in CIF format:
```
data_Tl2Bi2Pb7
_cell_length_a 6.700
_cell_length_b 12.061
_cell_length_c 9.336
_cell_angle_alpha 90.00
_cell_angle_beta 105.69
_cell_angle_gamma 90.00
_symmetry_space_group_name_H-M 'C 1 2/m 1'
_symmetry_Int_Tables_number 12
loop_
_symmetry_equiv_pos_as_xyz
'x,y,z'
'-x,-y,-z'
'-x,y,-z'
'x,-y,z'
'x+1/2,y+1/2,z'
'-x+1/2,-y+1/2,-z'
'-x+1/2,y+1/2,-z'
'x+1/2,-y+1/2,z'
loop_
_atom_site_label
_atom_site_type_symbol
_atom_site_fract_x
_atom_site_fract_y
_atom_site_fract_z
Tl1 Tl 0.109 0.000 0.199
Bi1 Bi 0.000 0.287 0.500
Pb1 Pb 0.000 0.500 0.000
Pb2 Pb 0.209 0.271 0.169
Pb3 Pb 0.245 0.000 0.595
```

## Properties
As for the mass density: 10.41 g/cm³.

Arrangement 2

A plane-wave DFT calculation with PBE-GGA was carried out for a relaxed structure of Tl2Bi2Pb7.

The structure in CIF format:
```
data_Tl2Bi2Pb7
_cell_length_a 11.139
_cell_length_b 11.611
_cell_length_c 6.433
_cell_angle_alpha 90.00
_cell_angle_beta 117.84
_cell_angle_gamma 90.00
_symmetry_space_group_name_H-M 'C 1 2/m 1'
_symmetry_Int_Tables_number 12
loop_
_symmetry_equiv_pos_as_xyz
'x,y,z'
'-x,-y,-z'
'-x,y,-z'
'x,-y,z'
'x+1/2,y+1/2,z'
'-x+1/2,-y+1/2,-z'
'-x+1/2,y+1/2,-z'
'x+1/2,-y+1/2,z'
loop_
_atom_site_label
_atom_site_type_symbol
_atom_site_fract_x
_atom_site_fract_y
_atom_site_fract_z
Tl1 Tl 0.000 0.173 0.000
Bi1 Bi 0.226 0.500 0.952
Pb1 Pb 0.000 0.000 0.500
Pb2 Pb 0.115 0.500 0.343
Pb3 Pb 0.171 0.247 0.663
```

## Properties
As for the mass density: 10.28 g/cm³.

The calculated energies rank the structures as follows, beginning with the most stable: arrangement 2, arrangement 1.